VASP calculation (GGA-PBEsol) on a geometry-optimized BaV6O11 structure.

The structure in POSCAR format:
```
BaV6O11
1.0
5.678 0.000 0.000
-2.839 4.917 0.000
0.000 0.000 13.290
Ba V O
2 12 22
direct
0.333 0.667 0.000
0.667 0.333 0.500
0.000 0.000 0.096
0.000 0.000 0.390
0.000 0.000 0.596
0.000 0.000 0.890
0.039 0.519 0.738
0.333 0.667 0.467
0.481 0.519 0.738
0.481 0.961 0.738
0.519 0.039 0.238
0.519 0.481 0.238
0.667 0.333 0.967
0.961 0.481 0.238
0.152 0.304 0.491
0.152 0.848 0.491
0.168 0.337 0.164
0.168 0.832 0.164
0.170 0.341 0.823
0.170 0.830 0.823
0.304 0.152 0.991
0.333 0.667 0.325
0.333 0.667 0.638
0.337 0.168 0.664
0.341 0.170 0.323
0.659 0.830 0.823
0.663 0.832 0.164
0.667 0.333 0.138
0.667 0.333 0.825
0.696 0.848 0.491
0.830 0.170 0.323
0.830 0.659 0.323
0.832 0.168 0.664
0.832 0.663 0.664
0.848 0.152 0.991
0.848 0.696 0.991
```

raw formation energy = -2482 meV/atom
final energy = -9.021 eV/atom
Fermi-level density of states = 14.63 states/eV per cell